{
  "formula": "BaFeH3",
  "functional": "PBE-GGA",
  "state": "relaxed",
  "energy_ev_per_atom": -3.092,
  "cell": [[4.832, 0.000, 0.000], [0.000, 4.832, 0.000], [0.000, 0.000, 4.832]],
  "species": ["Ba", "Fe", "H", "H", "H"],
  "frac_coords": [[0.000, 0.000, 0.000], [0.500, 0.500, 0.500], [0.000, 0.000, 0.500], [0.000, 0.500, 0.000], [0.500, 0.000, 0.000]]
}